# NaVB2F8 | Alexandria | GGA+U | relaxed
# - Final energy: -5.58 eV/atom
# - Theoretical density: 2.655 Mg/m³
data_NaVB2F8
_chemical_formula_sum 'Na3 V3 B6 F24'
_space_group_name_H-M_alt 'R -3'
_space_group_IT_number 148
_space_group_name_Hall '-R 3'
_cell_length_a 5.0032
_cell_length_b 5.0032
_cell_length_c 21.4278
_cell_angle_alpha 90.00
_cell_angle_beta 90.00
_cell_angle_gamma 120.00
loop_
_atom_site_label
_atom_site_fract_x
_atom_site_fract_y
_atom_site_fract_z
Na1 0.0000 0.0000 0.0000
V1 0.0000 0.0000 0.5000
B1 0.0000 0.0000 0.2543
F1 0.0000 0.0000 0.3198
F2 0.0179 0.7402 0.7679